## ScOsI2F (PBEsol)

Data for an optimized crystal structure of ScOsI2F.

Summary:
VASP energy = -0.1662 hartree per atom
Spin magnetization = 0.00 μB per formula unit
Crystal system = tetragonal
ΔE_f (raw) = 334 meV per atom
Density of states at the Fermi level = 0.96 states/eV per atom
Space group = P4/mmm, No. 123

Cell and atoms, written as POSCAR:
```
ScOsI2F
1.0
5.324 0.000 0.000
0.000 5.324 0.000
0.000 0.000 3.845
Sc Os I F
1 1 2 1
direct
0.000 0.000 0.000 Sc
0.500 0.500 0.000 Os
0.000 0.500 0.500 I
0.500 0.000 0.500 I
0.500 0.500 0.500 F
```


## RbNa2Cd2 (PBEsol)

Data for an optimized crystal structure of RbNa2Cd2.

Summary:
Formation energy = 0.021 eV/atom
VASP energy = -0.0449 hartree per atom
Spin magnetization = 0.00 μB per formula unit
Offset from the most stable computed form = 0.0 meV/atom
Crystal system = tetragonal
Density of states at the Fermi level = 0.42 states/eV per atom
Space group = P4/mbm, No. 127

Cell and atoms, written as POSCAR:
```
RbNa2Cd2
1.0
9.470 0.000 0.000
0.000 9.470 0.000
0.000 0.000 3.513
Rb Na Cd
2 4 4
direct
0.000 0.000 0.000 Rb
0.500 0.500 0.000 Rb
0.176 0.324 0.500 Na
0.324 0.824 0.500 Na
0.676 0.176 0.500 Na
0.824 0.676 0.500 Na
0.111 0.611 0.000 Cd
0.389 0.111 0.000 Cd
0.611 0.889 0.000 Cd
0.889 0.389 0.000 Cd
```


## SrYSbI2 (PBEsol)

Data for an optimized crystal structure of SrYSbI2.

Summary:
VASP energy = -0.1302 hartree per atom
Spin magnetization = 0.16 μB per formula unit
Offset from the most stable computed form = 686.5 meV/atom
Crystal system = tetragonal
ΔE_f (raw) = -192 meV per atom
Density of states at the Fermi level = 0.53 states/eV per atom
Space group = P4/mmm, No. 123

Cell and atoms, written as POSCAR:
```
SrYSbI2
1.0
5.817 0.000 0.000
0.000 5.817 0.000
0.000 0.000 6.351
Sr Y Sb I
1 1 1 2
direct
0.000 0.000 0.000 Sr
0.500 0.500 0.500 Y
0.000 0.000 0.500 Sb
0.000 0.500 0.000 I
0.500 0.000 0.000 I
```


## MnCd2Tc (PBEsol)

Data for an optimized crystal structure of MnCd2Tc.

Summary:
Formation energy = 0.279 eV/atom
VASP energy = -0.2049 hartree per atom
Spin magnetization = 0.00 μB per formula unit
Offset from the most stable computed form = 0.0 meV/atom
Crystal system = trigonal
Density of states at the Fermi level = 0.63 states/eV per atom
Space group = R3m, No. 160

Cell and atoms, written as POSCAR:
```
MnCd2Tc
1.0
2.787 0.000 0.000
-1.394 2.414 0.000
0.000 0.000 28.188
Mn Cd Tc
3 6 3
direct
0.000 0.000 0.000 Mn
0.333 0.667 0.667 Mn
0.667 0.333 0.333 Mn
0.000 0.000 0.514 Cd
0.000 0.000 0.749 Cd
0.333 0.667 0.181 Cd
0.333 0.667 0.416 Cd
0.667 0.333 0.082 Cd
0.667 0.333 0.847 Cd
0.000 0.000 0.269 Tc
0.333 0.667 0.936 Tc
0.667 0.333 0.603 Tc
```


## CuTc2Mo (PBEsol)

Data for an optimized crystal structure of CuTc2Mo.

Summary:
Formation energy = 0.305 eV/atom
VASP energy = -0.3437 hartree per atom
Spin magnetization = 0.00 μB per formula unit
Offset from the most stable computed form = 92.9 meV/atom
Crystal system = tetragonal
Density of states at the Fermi level = 1.17 states/eV per atom
Space group = P4/mmm, No. 123

Cell and atoms, written as POSCAR:
```
CuTc2Mo
1.0
2.676 0.000 0.000
0.000 2.676 0.000
0.000 0.000 7.703
Cu Tc Mo
1 2 1
direct
0.000 0.000 0.000 Cu
0.500 0.500 0.241 Tc
0.500 0.500 0.759 Tc
0.000 0.000 0.500 Mo
```


## TbPd (PBEsol)

Data for an optimized crystal structure of TbPd.

Summary:
Formation energy = -0.889 eV/atom
VASP energy = -0.2342 hartree per atom
Spin magnetization = 0.00 μB per formula unit
Crystal system = orthorhombic
Density of states at the Fermi level = 0.60 states/eV per atom
Space group = Cmcm, No. 63

Cell and atoms, written as POSCAR:
```
TbPd
1.0
3.666 0.000 0.000
0.000 10.385 0.000
0.000 0.000 4.521
Tb Pd
4 4
direct
0.000 0.138 0.250 Tb
0.000 0.862 0.750 Tb
0.500 0.362 0.750 Tb
0.500 0.638 0.250 Tb
0.000 0.414 0.250 Pd
0.000 0.586 0.750 Pd
0.500 0.086 0.750 Pd
0.500 0.914 0.250 Pd
```


## Fe2AgTe (PBEsol)

Data for an optimized crystal structure of Fe2AgTe.

Summary:
VASP energy = -0.2152 hartree per atom
Spin magnetization = 4.84 μB per formula unit
Crystal system = tetragonal
ΔE_f (raw) = 335 meV per atom
Density of states at the Fermi level = 0.88 states/eV per atom
Space group = P4mm, No. 99

Cell and atoms, written as POSCAR:
```
Fe2AgTe
1.0
3.123 0.000 0.000
0.000 3.123 0.000
0.000 0.000 6.672
Fe Ag Te
2 1 1
direct
0.000 0.000 0.000 Fe
0.500 0.500 0.172 Fe
0.500 0.500 0.762 Ag
0.000 0.000 0.406 Te
```


## MnRe2Mo (PBEsol)

Data for an optimized crystal structure of MnRe2Mo.

Summary:
Formation energy = 0.151 eV/atom
VASP energy = -0.4372 hartree per atom
Spin magnetization = 2.55 μB per formula unit
Offset from the most stable computed form = 9.9 meV/atom
Crystal system = orthorhombic
Density of states at the Fermi level = 0.89 states/eV per atom
Space group = Pmmm, No. 47

Cell and atoms, written as POSCAR:
```
MnRe2Mo
1.0
3.113 0.000 0.000
0.000 4.267 0.000
0.000 0.000 4.271
Mn Re Mo
1 2 1
direct
0.000 0.000 0.000 Mn
0.000 0.500 0.500 Re
0.500 0.000 0.500 Re
0.500 0.500 0.000 Mo
```


## LiTa3Sb (PBEsol)

Data for an optimized crystal structure of LiTa3Sb.

Summary:
VASP energy = -0.2893 hartree per atom
Spin magnetization = 0.00 μB per formula unit
Crystal system = cubic
ΔE_f (raw) = 962 meV per atom
Density of states at the Fermi level = 0.74 states/eV per atom
Space group = Pm-3m, No. 221

Cell and atoms, written as POSCAR:
```
LiTa3Sb
1.0
4.416 0.000 0.000
0.000 4.416 0.000
0.000 0.000 4.416
Li Ta Sb
1 3 1
direct
0.000 0.000 0.000 Li
0.000 0.000 0.500 Ta
0.000 0.500 0.000 Ta
0.500 0.000 0.000 Ta
0.500 0.500 0.500 Sb
```


## Sr3Al2H12O12 (PBEsol)

Data for an optimized crystal structure of Sr3Al2H12O12.

Summary:
VASP energy = -0.2146 hartree per atom
Spin magnetization = 0.00 μB per formula unit
Crystal system = cubic
Density of states at the Fermi level = 0.00 states/eV per atom
Space group = Ia-3d, No. 230

Cell and atoms, written as POSCAR:
```
Sr3Al2H12O12
1.0
-6.479 6.479 6.479
6.479 -6.479 6.479
6.479 6.479 -6.479
Sr Al H O
12 8 48 48
direct
0.125 0.250 0.375 Sr
0.125 0.375 0.750 Sr
0.250 0.375 0.125 Sr
0.250 0.875 0.625 Sr
0.375 0.125 0.250 Sr
0.375 0.750 0.125 Sr
0.625 0.250 0.875 Sr
0.625 0.875 0.750 Sr
0.750 0.125 0.375 Sr
0.750 0.625 0.875 Sr
0.875 0.625 0.250 Sr
0.875 0.750 0.625 Sr
0.000 0.000 0.000 Al
0.000 0.000 0.500 Al
0.000 0.500 0.000 Al
0.000 0.500 0.500 Al
0.500 0.000 0.000 Al
0.500 0.000 0.500 Al
0.500 0.500 0.000 Al
0.500 0.500 0.500 Al
0.051 0.611 0.856 H
0.051 0.940 0.195 H
0.060 0.755 0.111 H
0.060 0.805 0.949 H
0.111 0.060 0.755 H
0.111 0.551 0.356 H
0.144 0.695 0.755 H
0.144 0.949 0.389 H
0.195 0.051 0.940 H
0.195 0.644 0.255 H
0.245 0.856 0.305 H
0.245 0.889 0.940 H
0.255 0.195 0.644 H
0.255 0.560 0.611 H
0.305 0.245 0.856 H
0.305 0.560 0.449 H
0.356 0.111 0.551 H
0.356 0.745 0.805 H
0.389 0.144 0.949 H
0.389 0.745 0.440 H
0.440 0.389 0.745 H
0.440 0.551 0.695 H
0.449 0.305 0.560 H
0.449 0.644 0.889 H
0.551 0.356 0.111 H
0.551 0.695 0.440 H
0.560 0.449 0.305 H
0.560 0.611 0.255 H
0.611 0.255 0.560 H
0.611 0.856 0.051 H
0.644 0.255 0.195 H
0.644 0.889 0.449 H
0.695 0.440 0.551 H
0.695 0.755 0.144 H
0.745 0.440 0.389 H
0.745 0.805 0.356 H
0.755 0.111 0.060 H
0.755 0.144 0.695 H
0.805 0.356 0.745 H
0.805 0.949 0.060 H
0.856 0.051 0.611 H
0.856 0.305 0.245 H
0.889 0.449 0.644 H
0.889 0.940 0.245 H
0.940 0.195 0.051 H
0.940 0.245 0.889 H
0.949 0.060 0.805 H
0.949 0.389 0.144 H
0.020 0.186 0.108 O
0.020 0.334 0.912 O
0.078 0.686 0.666 O
0.078 0.892 0.412 O
0.088 0.608 0.422 O
0.088 0.980 0.666 O
0.108 0.020 0.186 O
0.108 0.588 0.922 O
0.166 0.186 0.578 O
0.166 0.480 0.588 O
0.186 0.108 0.020 O
0.186 0.578 0.166 O
0.314 0.334 0.922 O
0.314 0.480 0.392 O
0.334 0.912 0.020 O
0.334 0.922 0.314 O
0.392 0.314 0.480 O
0.392 0.578 0.912 O
0.412 0.078 0.892 O
0.412 0.834 0.520 O
0.422 0.088 0.608 O
0.422 0.834 0.814 O
0.480 0.392 0.314 O
0.480 0.588 0.166 O
0.520 0.412 0.834 O
0.520 0.608 0.686 O
0.578 0.166 0.186 O
0.578 0.912 0.392 O
0.588 0.166 0.480 O
0.588 0.922 0.108 O
0.608 0.422 0.088 O
0.608 0.686 0.520 O
0.666 0.078 0.686 O
0.666 0.088 0.980 O
0.686 0.520 0.608 O
0.686 0.666 0.078 O
0.814 0.422 0.834 O
0.814 0.892 0.980 O
0.834 0.520 0.412 O
0.834 0.814 0.422 O
0.892 0.412 0.078 O
0.892 0.980 0.814 O
0.912 0.020 0.334 O
0.912 0.392 0.578 O
0.922 0.108 0.588 O
0.922 0.314 0.334 O
0.980 0.666 0.088 O
0.980 0.814 0.892 O
```